Material: AlRe2Mo
Method: DFT, PBE
State: relaxed

## Properties
For the total moment, the calculation gives 0.00 μB per formula unit. Its space group is No. 25. The calculation puts the energy of formation at -0.028 eV/atom.

abc: 2.791 4.107 5.254
angles: 90.00 90.00 90.00
Fractional positions:
Al: 0.000 0.000 0.000
Re: 0.000 0.000 0.506
Re: 0.500 0.500 0.754
Mo: 0.500 0.500 0.243

---

Material: FeIrPb4
Method: DFT, PBE
State: relaxed

## Properties
For the total moment, the calculation gives 3.27 μB per formula unit. Its space group is No. 216. The calculation puts the energy of formation at 1.215 eV/atom.

abc: 6.163 6.163 6.163
angles: 60.00 60.00 60.00
Fractional positions:
Fe: 0.000 0.000 0.000
Ir: 0.750 0.750 0.750
Pb: 0.375 0.375 0.375
Pb: 0.375 0.375 0.874
Pb: 0.375 0.874 0.375
Pb: 0.874 0.375 0.375

---

Material: La7Nd12Mg
Method: DFT, PBE
State: relaxed

## Properties
As for the relative energy among the computed polymorphs: 499 meV/atom. For the total moment, the calculation gives 0.00 μB per formula unit. Its space group is No. 204. The calculation puts the energy of formation at 0.567 eV/atom.

abc: 10.107 10.107 10.107
angles: 109.47 109.47 109.47
Fractional positions:
La: 0.000 0.000 0.500
La: 0.000 0.500 0.000
La: 0.000 0.500 0.500
La: 0.500 0.000 0.000
La: 0.500 0.000 0.500
La: 0.500 0.500 0.000
La: 0.500 0.500 0.500
Nd: 0.002 0.247 0.755
Nd: 0.245 0.491 0.247
Nd: 0.245 0.998 0.753
Nd: 0.247 0.245 0.491
Nd: 0.247 0.755 0.002
Nd: 0.491 0.247 0.245
Nd: 0.509 0.753 0.755
Nd: 0.753 0.245 0.998
Nd: 0.753 0.755 0.509
Nd: 0.755 0.002 0.247
Nd: 0.755 0.509 0.753
Nd: 0.998 0.753 0.245
Mg: 0.000 0.000 0.000

---

Q: energy of formation of number 2 (FeIrPb4)?
A: 1.215 eV/atom

---

Q: What is the formula in the first record?
A: AlRe2Mo